No. 1
# Y2SF (GGA-PBE, optimized geometry)
# DFT total energy	-6.55	eV per atom
# symmetry	No. 122
# relative energy among the computed polymorphs	0	meV per atom
# density of states at the Fermi level	4.32	states/eV/f.u.
data_Y2SF
_chemical_formula_sum 'Y4 S2 F2'
_space_group_name_H-M_alt 'P 1'
_space_group_IT_number 1
_space_group_name_Hall 'P 1'
_cell_length_a 7.0991
_cell_length_b 7.0991
_cell_length_c 7.0991
_cell_angle_alpha 131.35
_cell_angle_beta 131.35
_cell_angle_gamma 71.27
loop_
_atom_site_label
_atom_site_type_symbol
_atom_site_fract_x
_atom_site_fract_y
_atom_site_fract_z
Y1 Y 0.0975 0.6250 0.9725
Y2 Y 0.3750 0.3475 0.4725
Y3 Y 0.6525 0.1250 0.0275
Y4 Y 0.8750 0.9025 0.5275
S1 S 0.2500 0.7500 0.5000
S2 S 0.5000 0.5000 0.0000
F1 F 0.0000 0.0000 0.0000
F2 F 0.7500 0.2500 0.5000

No. 2
# YSF (GGA-PBE, optimized geometry)
# DFT total energy	-6.97	eV per atom
# symmetry	No. 12
# density of states at the Fermi level	0.00	states/eV/f.u.
data_YSF
_chemical_formula_sum 'Y4 S4 F4'
_space_group_name_H-M_alt 'P 1'
_space_group_IT_number 1
_space_group_name_Hall 'P 1'
_cell_length_a 7.8636
_cell_length_b 7.8636
_cell_length_c 8.8729
_cell_angle_alpha 92.22
_cell_angle_beta 92.22
_cell_angle_gamma 31.29
loop_
_atom_site_label
_atom_site_type_symbol
_atom_site_fract_x
_atom_site_fract_y
_atom_site_fract_z
Y1 Y 0.0927 0.0927 0.3592
Y2 Y 0.2385 0.2385 0.8029
Y3 Y 0.7615 0.7615 0.1971
Y4 Y 0.9073 0.9073 0.6408
S1 S 0.0804 0.0804 0.6555
S2 S 0.1615 0.1615 0.0646
S3 S 0.8385 0.8385 0.9354
S4 S 0.9196 0.9196 0.3445
F1 F 0.2452 0.2452 0.3571
F2 F 0.3713 0.3713 0.6681
F3 F 0.6287 0.6287 0.3319
F4 F 0.7548 0.7548 0.6429

No. 3
# YSF (GGA-PBE, optimized geometry)
# DFT total energy	-6.96	eV per atom
# symmetry	No. 216
# density of states at the Fermi level	0.00	states/eV/f.u.
data_YSF
_chemical_formula_sum 'Y1 S1 F1'
_space_group_name_H-M_alt 'P 1'
_space_group_IT_number 1
_space_group_name_Hall 'P 1'
_cell_length_a 4.3678
_cell_length_b 4.3678
_cell_length_c 4.3678
_cell_angle_alpha 60.00
_cell_angle_beta 60.00
_cell_angle_gamma 60.00
loop_
_atom_site_label
_atom_site_type_symbol
_atom_site_fract_x
_atom_site_fract_y
_atom_site_fract_z
Y1 Y 0.0000 0.0000 0.0000
S1 S 0.2500 0.2500 0.2500
F1 F 0.7500 0.7500 0.7500

No. 4
# Y2SF (GGA-PBE, optimized geometry)
# DFT total energy	-6.41	eV per atom
# symmetry	No. 225
# relative energy among the computed polymorphs	140	meV per atom
# density of states at the Fermi level	3.73	states/eV/f.u.
data_Y2SF
_chemical_formula_sum 'Y2 S1 F1'
_space_group_name_H-M_alt 'P 1'
_space_group_IT_number 1
_space_group_name_Hall 'P 1'
_cell_length_a 4.6745
_cell_length_b 4.6745
_cell_length_c 4.6745
_cell_angle_alpha 60.00
_cell_angle_beta 60.00
_cell_angle_gamma 60.00
loop_
_atom_site_label
_atom_site_type_symbol
_atom_site_fract_x
_atom_site_fract_y
_atom_site_fract_z
Y1 Y 0.2500 0.2500 0.2500
Y2 Y 0.7500 0.7500 0.7500
S1 S 0.0000 0.0000 0.0000
F1 F 0.5000 0.5000 0.5000

No. 5
# YSF (GGA-PBE, optimized geometry)
# DFT total energy	-6.65	eV per atom
# symmetry	No. 107
data_YSF
_chemical_formula_sum 'Y1 S1 F1'
_space_group_name_H-M_alt 'P 1'
_space_group_IT_number 1
_space_group_name_Hall 'P 1'
_cell_length_a 4.7384
_cell_length_b 4.7384
_cell_length_c 4.7384
_cell_angle_alpha 132.69
_cell_angle_beta 132.69
_cell_angle_gamma 69.14
loop_
_atom_site_label
_atom_site_type_symbol
_atom_site_fract_x
_atom_site_fract_y
_atom_site_fract_z
Y1 Y 0.0000 0.0000 0.0000
S1 S 0.3860 0.3860 0.0000
F1 F 0.7263 0.7263 0.0000

No. 6
# YSF3 (GGA-PBE, optimized geometry)
# DFT total energy	-5.87	eV per atom
# symmetry	No. 221
# relative energy among the computed polymorphs	0	meV per atom
# density of states at the Fermi level	2.89	states/eV/f.u.
data_YSF3
_chemical_formula_sum 'Y1 S1 F3'
_space_group_name_H-M_alt 'P 1'
_space_group_IT_number 1
_space_group_name_Hall 'P 1'
_cell_length_a 4.4504
_cell_length_b 4.4504
_cell_length_c 4.4504
_cell_angle_alpha 90.00
_cell_angle_beta 90.00
_cell_angle_gamma 90.00
loop_
_atom_site_label
_atom_site_type_symbol
_atom_site_fract_x
_atom_site_fract_y
_atom_site_fract_z
Y1 Y 0.0000 0.0000 0.0000
S1 S 0.5000 0.5000 0.5000
F1 F 0.0000 0.0000 0.5000
F2 F 0.0000 0.5000 0.0000
F3 F 0.5000 0.0000 0.0000

Copy entry 6 word for word.
# YSF3 (GGA-PBE, optimized geometry)
# DFT total energy	-5.87	eV per atom
# symmetry	No. 221
# relative energy among the computed polymorphs	0	meV per atom
# density of states at the Fermi level	2.89	states/eV/f.u.
data_YSF3
_chemical_formula_sum 'Y1 S1 F3'
_space_group_name_H-M_alt 'P 1'
_space_group_IT_number 1
_space_group_name_Hall 'P 1'
_cell_length_a 4.4504
_cell_length_b 4.4504
_cell_length_c 4.4504
_cell_angle_alpha 90.00
_cell_angle_beta 90.00
_cell_angle_gamma 90.00
loop_
_atom_site_label
_atom_site_type_symbol
_atom_site_fract_x
_atom_site_fract_y
_atom_site_fract_z
Y1 Y 0.0000 0.0000 0.0000
S1 S 0.5000 0.5000 0.5000
F1 F 0.0000 0.0000 0.5000
F2 F 0.0000 0.5000 0.0000
F3 F 0.5000 0.0000 0.0000

What is the DFT total energy in the fifth record?
-6.65 eV per atom

Number 5 is which compound?
YSF